# 1
Compound: LaCoSb
Source: the Alexandria database
Functional: PBE-GGA
Structure: relaxed

Summary:
As for the uncorrected formation energy: -623 meV per atom.

CIF file:
```
data_LaCoSb
_space_group_name_H-M_alt 'P 3 m 1'
_space_group_IT_number 156
_cell_length_a 4.3954
_cell_length_b 4.3954
_cell_length_c 4.3056
_cell_angle_alpha 90.00
_cell_angle_beta 90.00
_cell_angle_gamma 120.00
loop_
_space_group_symop_operation_xyz
'x,y,z'
'-y,x-y,z'
'-x+y,-x,z'
'-y,-x,z'
'-x+y,y,z'
'x,x-y,z'
loop_
_atom_site_label
_atom_site_type_symbol
_atom_site_fract_x
_atom_site_fract_y
_atom_site_fract_z
La1 La 0.0000 0.0000 0.0000
Co1 Co 0.3333 0.6667 0.5039
Sb1 Sb 0.6667 0.3333 0.5008
```

# 2
Compound: Mg2Zn2Ru
Source: the Alexandria database
Functional: PBE-GGA
Structure: relaxed

Summary:
Its formation energy is 0.427 eV/atom.

CIF file:
```
data_Mg2Zn2Ru
_space_group_name_H-M_alt 'I 4/m m m'
_space_group_IT_number 139
_space_group_name_Hall '-I 4 2'
_cell_length_a 3.7312
_cell_length_b 3.7312
_cell_length_c 12.2274
_cell_angle_alpha 90.00
_cell_angle_beta 90.00
_cell_angle_gamma 90.00
loop_
_atom_site_label
_atom_site_type_symbol
_atom_site_fract_x
_atom_site_fract_y
_atom_site_fract_z
Mg1 Mg 0.0000 0.5000 0.2500
Zn1 Zn 0.0000 0.0000 0.0933
Ru1 Ru 0.0000 0.0000 0.5000
```

# 3
Compound: Y2HoTl9
Source: the Alexandria database
Functional: PBE-GGA
Structure: relaxed

Summary:
Its formation energy is -0.240 eV/atom.

CIF file:
```
data_Y2HoTl9
_space_group_name_H-M_alt 'P 4/m m m'
_space_group_IT_number 123
_space_group_name_Hall '-P 4 2'
_cell_length_a 4.7678
_cell_length_b 4.7678
_cell_length_c 14.3020
_cell_angle_alpha 90.00
_cell_angle_beta 90.00
_cell_angle_gamma 90.00
loop_
_atom_site_label
_atom_site_type_symbol
_atom_site_fract_x
_atom_site_fract_y
_atom_site_fract_z
Y1 Y 0.0000 0.0000 0.1667
Ho1 Ho 0.0000 0.0000 0.5000
Tl1 Tl 0.0000 0.5000 0.0000
Tl2 Tl 0.0000 0.5000 0.3341
Tl3 Tl 0.5000 0.5000 0.1671
Tl4 Tl 0.5000 0.5000 0.5000
```

# 4
Compound: Zr2RhBr
Source: the Alexandria database
Functional: PBE-GGA
Structure: relaxed

Summary:
As for the uncorrected formation energy: -314 meV per atom.

CIF file:
```
data_Zr2RhBr
_space_group_name_H-M_alt 'C m m m'
_space_group_IT_number 65
_space_group_name_Hall '-C 2 2'
_cell_length_a 6.6276
_cell_length_b 7.2845
_cell_length_c 3.1711
_cell_angle_alpha 90.00
_cell_angle_beta 90.00
_cell_angle_gamma 90.00
loop_
_atom_site_label
_atom_site_type_symbol
_atom_site_fract_x
_atom_site_fract_y
_atom_site_fract_z
Zr1 Zr 0.2500 0.2500 0.0000
Rh1 Rh 0.0000 0.0000 0.5000
Br1 Br 0.0000 0.5000 0.5000
```

# 5
Compound: Pr4P2SBr
Source: the Alexandria database
Functional: PBE-GGA
Structure: relaxed

Summary:
As for the uncorrected formation energy: -1656 meV per atom.

CIF file:
```
data_Pr4P2SBr
_space_group_name_H-M_alt 'P 1 2/m 1'
_space_group_IT_number 10
_cell_length_a 7.2775
_cell_length_b 4.1667
_cell_length_c 7.4122
_cell_angle_alpha 90.00
_cell_angle_beta 108.80
_cell_angle_gamma 90.00
loop_
_space_group_symop_operation_xyz
'x,y,z'
'-x,-y,-z'
'-x,y,-z'
'x,-y,z'
loop_
_atom_site_label
_atom_site_type_symbol
_atom_site_fract_x
_atom_site_fract_y
_atom_site_fract_z
Pr1 Pr 0.2264 0.0000 0.2196
Pr2 Pr 0.2437 0.5000 0.7711
P1 P 0.0000 0.5000 0.0000
P2 P 0.5000 0.0000 0.0000
S1 S 0.0000 0.0000 0.5000
Br1 Br 0.5000 0.5000 0.5000
```

# 6
Compound: Li2CuGeSe4
Source: the Alexandria database
Functional: PBE-GGA
Structure: relaxed

Summary:
As for the uncorrected formation energy: -590 meV per atom.

CIF file:
```
data_Li2CuGeSe4
_space_group_name_H-M_alt 'P 1'
_space_group_IT_number 1
_cell_length_a 5.9199
_cell_length_b 5.9206
_cell_length_c 6.7953
_cell_angle_alpha 115.80
_cell_angle_beta 115.80
_cell_angle_gamma 90.01
loop_
_space_group_symop_operation_xyz
'x,y,z'
loop_
_atom_site_label
_atom_site_type_symbol
_atom_site_fract_x
_atom_site_fract_y
_atom_site_fract_z
Li1 Li 0.0000 0.0000 0.0000
Li2 Li 0.2502 0.7497 0.5000
Cu1 Cu 0.4998 0.5006 0.0005
Ge1 Ge 0.7502 0.2501 0.5001
Se1 Se 0.1236 0.1518 0.7564
Se2 Se 0.3954 0.8770 0.2438
Se3 Se 0.6333 0.6047 0.7566
Se4 Se 0.8481 0.3670 0.2434
```

Number 1: E -6.01 eV per atom, density of states at the Fermi level 3.54 states/eV/cell. Number 2: E -2.58 eV per atom, density of states at the Fermi level 3.80 states/eV/cell. Number 3: E -3.47 eV per atom, density of states at the Fermi level 2.88 states/eV/cell. Number 4: E -6.84 eV per atom, density of states at the Fermi level 9.77 states/eV/cell. Number 5: E -6.12 eV per atom, density of states at the Fermi level 3.55 states/eV/cell. Number 6: E -3.90 eV per atom, density of states at the Fermi level 8.81 states/eV/cell.